1.
A relaxed structure of Nd6Ge3Se2S, computed with PBE-GGA.

The calculation puts the total energy at -5.87 eV/atom.

a = 4.256 Å, b = 8.530 Å, c = 9.529 Å
α = 103.38°, β = 102.90°, γ = 90.00°
Sites, in units of the cell vectors:
Se  0.834  0.667  0.668
Se  0.166  0.333  0.332
Nd  0.666  0.077  0.331
Nd  0.335  0.411  0.670
Nd  0.334  0.923  0.669
Nd  0.998  0.249  0.996
Nd  0.665  0.589  0.330
Nd  0.002  0.751  0.004
S  0.500  0.000  0.000
Ge  0.500  0.500  0.000
Ge  0.833  0.165  0.665
Ge  0.167  0.835  0.335

---

2.
A relaxed structure of K2CeDySe4, computed with PBE-GGA.

The calculation puts the total energy at -5.06 eV/atom.

a = 4.299 Å, b = 7.449 Å, c = 8.068 Å
α = 107.90°, β = 90.00°, γ = 90.00°
Last column: magnetic moment on the atom in μB.
Sites, in units of the cell vectors:
K  0.500  0.000  0.500  0.00
K  0.000  0.500  0.500  0.00
Ce  0.000  0.000  0.000  0.96
Se  0.000  0.272  0.794  -0.01
Se  0.500  0.244  0.209  -0.01
Se  0.500  0.756  0.791  -0.01
Se  0.000  0.728  0.206  -0.01
Dy  0.500  0.500  0.000  0.01

---

3.
A relaxed structure of Ac2HoCd, computed with PBE-GGA.

The calculation puts the formation energy at -0.02 eV per atom. The calculation puts the total energy at -3.45 eV/atom. As for the energy relative to the lowest polymorph listed for this composition: 7.64 kJ/mol of atoms.

a = 5.853 Å, b = 5.853 Å, c = 5.853 Å
α = 60.00°, β = 60.00°, γ = 60.00°
Sites, in units of the cell vectors:
Ac  0.750  0.750  0.750
Ac  0.250  0.250  0.250
Ho  0.500  0.500  0.500
Cd  0.000  0.000  0.000

---

4.
A relaxed structure of Sr2HPd, computed with PBE-GGA.

The calculation puts the total energy at -3.25 eV/atom. As for the energy relative to the lowest polymorph listed for this composition: 10.38 kJ/mol of atoms.

a = 3.618 Å, b = 3.618 Å, c = 7.498 Å
α = 90.00°, β = 90.00°, γ = 90.00°
Sites, in units of the cell vectors:
H  0.500  0.500  0.000
Pd  0.500  0.500  0.500
Sr  0.000  0.000  0.254
Sr  0.000  0.000  0.746